! SrZnTe2N PBE-GGA optimized geometry; values from VASP
&SYSTEM
  ibrav = 0, nat = 5, ntyp = 4
/
ATOMIC_SPECIES
Sr 87.62 Sr.upf
Zn 65.41 Zn.upf
Te 127.60 Te.upf
N 14.01 N.upf
ATOMIC_POSITIONS crystal
Sr 0.000 0.000 0.000
Zn 0.500 0.500 0.500
Te 0.000 0.500 0.500
Te 0.500 0.000 0.500
N 0.500 0.500 0.000
CELL_PARAMETERS angstrom
5.913 0.000 0.000
0.000 5.913 0.000
0.000 0.000 3.774
! energy relative to the elements, uncorrected: 0.01 eV per atom